# 1
Compound: Ba2YMg12Cd3
Source: Alexandria
Functional: PBE
Structure: relaxed

Cell and atoms, written as POSCAR:
```
Ba2YMg12Cd3
1.0
-7.023 -4.493 -5.297
-8.519 -3.670 3.394
-9.073 3.419 -1.886
Mg Cd Ba Y
12 3 2 1
Direct
0.828 0.828 0.453
0.453 0.828 0.828
0.172 0.172 0.547
0.828 0.453 0.828
0.785 0.785 0.130
0.215 0.870 0.215
0.172 0.547 0.172
0.785 0.130 0.785
0.215 0.215 0.870
0.547 0.172 0.172
0.870 0.215 0.215
0.130 0.785 0.785
0.500 0.000 0.000
0.000 0.500 0.000
0.000 0.000 0.500
0.417 0.417 0.417
0.583 0.583 0.583
0.000 0.000 0.000
```

Results
DFT total energy ... -29.10 eV/cell
SG ... No. 166
N(E_F) ... 9.15 states/eV per cell
DFT formation energy ... 0.17 eV/atom



# 2
Compound: BaMg2ZnCd
Source: Alexandria
Functional: PBE
Structure: relaxed

Cell and atoms, written as POSCAR:
```
BaMg2ZnCd
1.0
-4.707 -0.683 2.184
2.109 -3.233 3.535
0.891 4.077 3.197
Ba Cd Zn Mg
1 1 1 2
Direct
0.500 0.500 0.500
0.000 0.000 0.500
0.000 0.000 0.000
0.000 0.500 0.000
0.500 0.000 0.000
```

Results
DFT total energy ... -7.47 eV/cell
SG ... No. 123
N(E_F) ... 3.02 states/eV per cell
DFT formation energy ... -0.03 eV/atom